! BaTa2Cr | Alexandria | PBE | relaxed; values from VASP
! Energy of formation (eV per atom): 0.90
! DOS at the Fermi energy (states/eV/cell): 4.8
! ΔE to the lowest computed polymorph (kJ/mol of formula units): 102
! SG: R-3m (166)
&SYSTEM
  ibrav = 0, nat = 4, ntyp = 3
/
ATOMIC_SPECIES
Ba 137.33 Ba.upf
Cr 52.00 Cr.upf
Ta 180.95 Ta.upf
CELL_PARAMETERS angstrom
10.2212 0.0226 0.0133
9.7325 3.1230 0.0133
9.7325 1.5343 2.7202
ATOMIC_POSITIONS angstrom
Ba 7.4215 1.1700 0.6867
Cr 22.2646 3.5099 2.0600
Ta 0.6516 0.1027 0.0603
Ta 14.1915 2.2372 1.3131

***

! TaPRh | Alexandria | PBE | relaxed; values from VASP
! Energy of formation (eV per atom): -0.79
! DOS at the Fermi energy (states/eV/cell): 6.7
! SG: Pnma (62)
&SYSTEM
  ibrav = 0, nat = 12, ntyp = 3
/
ATOMIC_SPECIES
P 30.97 P.upf
Rh 102.91 Rh.upf
Ta 180.95 Ta.upf
CELL_PARAMETERS angstrom
-2.5657 2.6378 0.8401
-1.4487 0.5443 -6.1332
-5.0217 -5.1177 0.7319
ATOMIC_POSITIONS angstrom
P -2.8651 -1.1253 -0.9775
P -6.6929 -2.3525 -0.3354
P -6.1710 -0.8102 -3.5836
P -2.3432 0.4169 -4.2257
Rh -4.0700 -1.1144 -4.6912
Rh -7.5702 -2.4647 -2.6625
Rh -4.9661 -0.8211 0.1301
Rh -1.4659 0.5291 -1.8986
Ta -6.2274 -3.0744 -5.1261
Ta -4.3637 0.5644 -2.3805
Ta -2.8087 1.1389 0.5650
Ta -4.6724 -2.5000 -2.1806

***

! CsNa4Mg | Alexandria | PBE | relaxed; values from VASP
! Energy of formation (eV per atom): 0.13
! DOS at the Fermi energy (states/eV/cell): 5.2
! SG: F-43m (216)
&SYSTEM
  ibrav = 0, nat = 6, ntyp = 3
/
ATOMIC_SPECIES
Cs 132.91 Cs.upf
Na 22.99 Na.upf
Mg 24.30 Mg.upf
CELL_PARAMETERS angstrom
-2.3572 -6.6140 1.0488
2.5531 -3.8672 5.3785
-4.1202 -1.4545 5.5956
ATOMIC_POSITIONS angstrom
Cs -0.9811 -2.9839 3.0057
Na -0.3669 -6.7451 4.6953
Na -3.7581 -5.5190 4.8057
Na -2.4607 -7.4842 7.5389
Na -1.2628 -4.1231 7.0059
Mg 0.0000 0.0000 0.0000

***

! Ac2NdTeO8 | Alexandria | PBE | relaxed; values from VASP
! SG: P2/m (10)
! Energy relative to the elements, uncorrected (meV per atom): -2376
&SYSTEM
  ibrav = 0, nat = 12, ntyp = 4
/
ATOMIC_SPECIES
Ac 227.00 Ac.upf
Nd 144.24 Nd.upf
Te 127.60 Te.upf
O 16.00 O.upf
CELL_PARAMETERS angstrom
-2.7166 -3.3762 -1.1349
1.0346 -1.9978 5.2202
-5.8263 3.8099 2.6128
ATOMIC_POSITIONS angstrom
Ac -5.2446 0.1926 4.0175
Ac -2.2637 -1.7567 2.6807
Nd -2.9132 1.9049 1.3064
Te 0.0000 0.0000 0.0000
O -0.5321 -1.0052 4.4911
O -6.5904 0.1066 6.3089
O -3.4693 -2.8521 0.6344
O -6.9762 -0.5589 2.2071
O -0.9180 -1.6707 0.3893
O -4.0391 1.2880 6.0638
O -3.6498 -1.4786 4.5976
O -3.8586 -0.0856 2.1006

***

! LiCrTe2N | Alexandria | PBE | relaxed; values from VASP
! DOS at the Fermi energy (states/eV/cell): 3.1
! ΔE to the lowest computed polymorph (kJ/mol of formula units): 0
! SG: P4/mmm (123)
! Energy relative to the elements, uncorrected (meV per atom): -103
&SYSTEM
  ibrav = 0, nat = 5, ntyp = 4
/
ATOMIC_SPECIES
Cr 52.00 Cr.upf
Te 127.60 Te.upf
Li 6.94 Li.upf
N 14.01 N.upf
CELL_PARAMETERS angstrom
5.5655 0.0000 0.0000
0.0000 5.5655 0.0000
0.0000 0.0000 3.5009
ATOMIC_POSITIONS angstrom
Cr 0.0000 0.0000 0.0000
Te 0.0000 2.7827 0.0000
Te 2.7827 0.0000 0.0000
Li 2.7827 2.7827 1.7505
N 0.0000 0.0000 1.7505

***

! TbDyGeIr | Alexandria | PBE | relaxed; values from VASP
! Energy of formation (eV per atom): -0.69
! DOS at the Fermi energy (states/eV/cell): 2.8
! ΔE to the lowest computed polymorph (kJ/mol of formula units): 66
! SG: F-43m (216)
&SYSTEM
  ibrav = 0, nat = 4, ntyp = 4
/
ATOMIC_SPECIES
Ge 72.64 Ge.upf
Ir 192.22 Ir.upf
Tb 158.93 Tb.upf
Dy 162.50 Dy.upf
CELL_PARAMETERS angstrom
-4.9523 0.1842 0.3712
-2.2193 -1.2362 4.2713
-2.1542 3.5060 2.7865
ATOMIC_POSITIONS angstrom
Ge -2.3315 0.6135 1.8572
Ir -6.9944 1.8406 5.5717
Tb 0.0000 0.0000 0.0000
Dy -4.6629 1.2271 3.7145

***

! MgBeP2Cl | Alexandria | PBE | relaxed; values from VASP
! DOS at the Fermi energy (states/eV/cell): 2.8
! ΔE to the lowest computed polymorph (kJ/mol of formula units): 0
! SG: P4/mmm (123)
! Energy relative to the elements, uncorrected (meV per atom): 107
&SYSTEM
  ibrav = 0, nat = 5, ntyp = 4
/
ATOMIC_SPECIES
P 30.97 P.upf
Mg 24.30 Mg.upf
Be 9.01 Be.upf
Cl 35.45 Cl.upf
CELL_PARAMETERS angstrom
4.0749 0.0000 0.0000
0.0000 4.0749 0.0000
0.0000 0.0000 5.7707
ATOMIC_POSITIONS angstrom
P 0.0000 2.0374 0.0000
P 2.0374 0.0000 0.0000
Mg 2.0374 2.0374 2.8854
Be 0.0000 0.0000 0.0000
Cl 0.0000 0.0000 2.8854

***

! Na2BF4 | Alexandria | PBE | relaxed; values from VASP
! DOS at the Fermi energy (states/eV/cell): 0.8
! SG: I-42m (121)
! Energy relative to the elements, uncorrected (meV per atom): -2385
&SYSTEM
  ibrav = 0, nat = 7, ntyp = 3
/
ATOMIC_SPECIES
Na 22.99 Na.upf
B 10.81 B.upf
F 19.00 F.upf
CELL_PARAMETERS angstrom
-1.0994 -3.7762 4.1002
2.7277 -4.0091 -2.9609
2.6706 4.8931 1.2860
ATOMIC_POSITIONS angstrom
Na 1.1927 -1.3879 2.9780
Na 3.1062 -1.5043 -0.5526
B 0.8142 -3.8926 0.5697
F 0.9660 -3.6561 1.9685
F 2.0747 -3.7236 -0.0770
F 3.0144 -0.3300 1.6447
F 2.5427 1.9254 1.3146

***

Here are the calculated total magnetic moment numbers, same order: 0.00, 0.00, 0.40, 1.03, 1.78, 0.00, 0.00, 0.00 (μB/f.u.).